Density functional theory data (PBE-GGA) for a geometry-optimized CaTiPbS2 structure.

Cell lengths 4.7125, 4.7125, 6.1448 Å; angles 90.00, 90.00, 90.00 degrees
With the nearest neighbours (Å) after each atom.
Space group P4/mmm (No. 123)
Asymmetric unit:
1 Ca 0.0000 0.0000 0.0000  2 Ti 3.07, 4 Pb 3.33
2 Ti 0.0000 0.0000 0.5000  4 S 2.36
3 Pb 0.5000 0.5000 0.0000  4 Ca 3.33
4 S 0.0000 0.5000 0.5000  2 Ti 2.36

Fermi-level density of states in states/eV per atom: 0.80
Spin magnetization in μB per formula unit: 1.636
Formation energy (no corrections) in meV per atom: -302